1.
VASP calculation (GGA-PBE) on a relaxed structure of LaMg2.

Output
**Total moment**: 0.00 μB/f.u.
**DOS(E_F)**: 4.28 states/eV/f.u.
**ΔH_f (0 K)**: -0.054 eV/atom
**Uncorrected energy**: -2.759 eV/atom

```
data_LaMg2
_chemical_formula_sum 'La2 Mg4'
_space_group_name_H-M_alt 'P 63/m m c'
_space_group_IT_number 194
_space_group_name_Hall '-P 6c 2c'
_cell_length_a 5.4525
_cell_length_b 5.4525
_cell_length_c 6.7442
_cell_angle_alpha 90.00
_cell_angle_beta 90.00
_cell_angle_gamma 120.00
loop_
_atom_site_label
_atom_site_fract_x
_atom_site_fract_y
_atom_site_fract_z
La1 0.3333 0.6667 0.2500
Mg1 0.0000 0.0000 0.0000
Mg2 0.3333 0.6667 0.7500
```



2.
VASP calculation (GGA-PBE) on a relaxed structure of Zr2AlRh2.

Output
**Total moment**: 0.00 μB/f.u.
**DOS(E_F)**: 3.66 states/eV/f.u.
**ΔH_f (0 K)**: -0.723 eV/atom
**Uncorrected energy**: -7.832 eV/atom

```
data_Zr2AlRh2
_chemical_formula_sum 'Zr4 Al2 Rh4'
_space_group_name_H-M_alt 'P 4/m b m'
_space_group_IT_number 127
_space_group_name_Hall '-P 4 2ab'
_cell_length_a 7.302
_cell_length_b 7.302
_cell_length_c 3.425
_cell_angle_alpha 90.00
_cell_angle_beta 90.00
_cell_angle_gamma 90.00
loop_
_atom_site_label
_atom_site_fract_x
_atom_site_fract_y
_atom_site_fract_z
Zr1 0.171 0.329 0.000
Al1 0.000 0.000 0.500
Rh1 0.135 0.635 0.500
```



3.
VASP calculation (GGA-PBE) on a relaxed structure of DyCuPbSe3.

Output
**Total moment**: 0.00 μB/f.u.
**ΔE_f (raw)**: -1.013 eV per atom
**Uncorrected energy**: -4.824 eV/atom

```
data_DyCuPbSe3
_chemical_formula_sum 'Dy4 Cu4 Pb4 Se12'
_space_group_name_H-M_alt 'P n m a'
_space_group_IT_number 62
_space_group_name_Hall '-P 2ac 2n'
_cell_length_a 10.659
_cell_length_b 4.066
_cell_length_c 13.689
_cell_angle_alpha 90.00
_cell_angle_beta 90.00
_cell_angle_gamma 90.00
loop_
_atom_site_label
_atom_site_fract_x
_atom_site_fract_y
_atom_site_fract_z
Dy1 0.023 0.250 0.243
Cu1 0.234 0.250 0.721
Pb1 0.221 0.750 0.506
Se1 0.045 0.250 0.615
Se2 0.090 0.750 0.107
Se3 0.231 0.750 0.830
```



4.
VASP calculation (GGA-PBE) on a relaxed structure of K2CdP2O6.

Output
**Total moment**: 0.00 μB/f.u.
**DOS(E_F)**: 0.00 states/eV/f.u.
**ΔE_f (raw)**: -2.009 eV per atom
**Uncorrected energy**: -5.980 eV/atom

```
data_K2CdP2O6
_chemical_formula_sum 'K4 Cd2 P4 O12'
_space_group_name_H-M_alt 'C 1 2/m 1'
_space_group_IT_number 12
_space_group_name_Hall '-C 2y'
_cell_length_a 10.087
_cell_length_b 5.722
_cell_length_c 6.693
_cell_angle_alpha 90.00
_cell_angle_beta 121.52
_cell_angle_gamma 90.00
loop_
_atom_site_label
_atom_site_fract_x
_atom_site_fract_y
_atom_site_fract_z
K1 0.214 0.000 0.193
Cd1 0.000 0.000 0.500
P1 0.044 0.500 0.190
O1 0.025 0.275 0.771
O2 0.222 0.500 0.325
```



Among the records above, which one has the lowest uncorrected energy? Zr2AlRh2